{
  "formula": "MnHgMo2As",
  "functional": "PBE",
  "state": "relaxed",
  "total_energy_ev_per_atom": -6.08,
  "formation_enthalpy_0k_ev_per_atom": 1.08,
  "lattice_angstrom": [[-0.491, -0.041, 4.624], [3.034, -3.078, 0.295], [3.283, 3.272, 0.378]],
  "species": ["As", "Mo", "Mo", "Mn", "Hg"],
  "frac_coords": [[0.000, 0.000, 0.000], [0.000, 0.000, 0.500], [0.500, 0.000, 0.000], [0.000, 0.500, 0.000], [0.500, 0.500, 0.500]]
}

---

{
  "formula": "RbMnHg2As",
  "functional": "PBE",
  "state": "relaxed",
  "total_energy_ev_per_atom": -3.10,
  "formation_enthalpy_0k_ev_per_atom": -0.02,
  "lattice_angstrom": [[5.346, 0.000, 0.000], [0.000, 5.346, 0.000], [0.000, 0.000, 4.550]],
  "species": ["As", "Mn", "Hg", "Hg", "Rb"],
  "frac_coords": [[0.000, 0.000, 0.500], [0.000, 0.000, 0.000], [0.000, 0.500, 0.000], [0.500, 0.000, 0.000], [0.500, 0.500, 0.500]]
}

---

{
  "formula": "MnHgAsSe2",
  "functional": "PBE",
  "state": "relaxed",
  "total_energy_ev_per_atom": -3.98,
  "formation_energy_uncorrected_ev_per_atom": 0.240,
  "relative_energy_ev_per_atom": 0.0000,
  "lattice_angstrom": [[-3.603, 3.016, -1.238], [-2.395, -1.197, 4.055], [2.174, 3.555, 2.334]],
  "species": ["As", "Mn", "Hg", "Se", "Se"],
  "frac_coords": [[0.000, 0.000, 0.500], [0.000, 0.000, 0.000], [0.500, 0.500, 0.500], [0.000, 0.500, 0.000], [0.500, 0.000, 0.000]]
}

---

{
  "formula": "MnHgAs2Se",
  "functional": "PBE",
  "state": "relaxed",
  "total_energy_ev_per_atom": -4.15,
  "formation_energy_uncorrected_ev_per_atom": 0.298,
  "relative_energy_ev_per_atom": 0.0000,
  "lattice_angstrom": [[4.675, 0.000, 0.000], [0.000, 4.675, 0.000], [0.000, 0.000, 5.000]],
  "species": ["As", "As", "Mn", "Hg", "Se"],
  "frac_coords": [[0.000, 0.500, 0.000], [0.500, 0.000, 0.000], [0.000, 0.000, 0.000], [0.500, 0.500, 0.500], [0.000, 0.000, 0.500]]
}

---

{
  "formula": "TaMn2HgAs",
  "functional": "PBE",
  "state": "relaxed",
  "total_energy_ev_per_atom": -4.74,
  "formation_enthalpy_0k_ev_per_atom": 2.29,
  "lattice_angstrom": [[4.704, 0.000, 0.000], [0.000, 4.840, 0.000], [0.000, 0.000, 4.704]],
  "species": ["As", "Mn", "Mn", "Hg", "Ta"],
  "frac_coords": [[0.000, 0.500, 0.000], [0.000, 0.000, 0.500], [0.500, 0.000, 0.000], [0.000, 0.000, 0.000], [0.500, 0.500, 0.500]]
}

---

{
  "formula": "MnHgTeAs2",
  "functional": "PBE",
  "state": "relaxed",
  "total_energy_ev_per_atom": -3.14,
  "formation_energy_uncorrected_ev_per_atom": 1.242,
  "lattice_angstrom": [[-3.283, 1.752, -3.990], [2.245, -2.831, -3.090], [-3.515, -4.018, 1.128]],
  "species": ["As", "As", "Te", "Hg", "Mn"],
  "frac_coords": [[0.000, 0.000, 0.500], [0.500, 0.000, 0.000], [0.000, 0.000, 0.000], [0.500, 0.500, 0.500], [0.000, 0.500, 0.000]]
}

---

{
  "formula": "TiMn2HgAs",
  "functional": "PBE",
  "state": "relaxed",
  "total_energy_ev_per_atom": -5.56,
  "formation_enthalpy_0k_ev_per_atom": 0.68,
  "relative_energy_ev_per_atom": 0.0000,
  "lattice_angstrom": [[-2.196, -0.444, -3.976], [-3.516, -2.971, 2.273], [-2.497, 3.696, 0.966]],
  "species": ["As", "Mn", "Mn", "Hg", "Ti"],
  "frac_coords": [[0.000, 0.000, 0.000], [0.000, 0.000, 0.500], [0.500, 0.000, 0.000], [0.000, 0.500, 0.000], [0.500, 0.500, 0.500]]
}

---

{
  "formula": "TiMn2HgAs",
  "functional": "PBE",
  "state": "relaxed",
  "total_energy_ev_per_atom": -5.00,
  "formation_enthalpy_0k_ev_per_atom": 1.24,
  "relative_energy_ev_per_atom": 0.5592,
  "lattice_angstrom": [[-2.101, 0.842, -4.396], [4.154, -1.886, -2.346], [-2.001, -4.520, 0.091]],
  "species": ["As", "Mn", "Mn", "Hg", "Ti"],
  "frac_coords": [[0.000, 0.500, 0.000], [0.000, 0.000, 0.500], [0.500, 0.000, 0.000], [0.000, 0.000, 0.000], [0.500, 0.500, 0.500]]
}

---

Record order is preserved below.
DOS at the Fermi energy: 6.6 2.9 4.0 2.6 6.6 8.2 3.2 7.1 states/eV per cell